Entry from Alexandria: crystalline MoPIrF2 at its relaxed geometry (PBE+U).

Lattice parameters (Å, degrees): 3.906 3.906 5.760 90.00 90.00 90.00
Sites, in units of the cell vectors:
Mo1 0.000 0.000 0.000
P1 0.500 0.500 0.500
Ir1 0.000 0.000 0.500
F1 0.000 0.500 0.000
F2 0.500 0.000 0.000

Summary:
V = 88 Å³/cell
D(E_F) = 0.57 states/eV per atom
DFT total energy = -5.534 eV per atom
Total moment = 3.0 μB per formula unit